! Cs2RbAcI6 | the Alexandria database | PBE | relaxed; values from VASP
&SYSTEM
  ibrav = 0, nat = 20, ntyp = 4
/
ATOMIC_SPECIES
Cs 132.91 Cs.upf
Rb 85.47 Rb.upf
Ac 227.00 Ac.upf
I 126.90 I.upf
CELL_PARAMETERS angstrom
9.1164 0.0000 0.0878
0.0000 9.6878 0.0000
0.2056 0.0000 12.9850
ATOMIC_POSITIONS angstrom
Cs 0.3367 8.9229 3.3189
Cs 4.9977 5.6088 9.8553
Cs 8.9853 0.7649 9.7539
Cs 4.3243 4.0790 3.2175
Rb 4.5582 0.0000 0.0439
Rb 0.1028 4.8439 6.4925
Ac 4.6610 0.0000 6.5364
Ac 0.0000 4.8439 0.0000
I 2.6368 6.6346 0.7494
I 7.2978 7.8972 7.2858
I 6.6852 3.0533 12.3234
I 2.0242 1.7906 5.7870
I 3.0441 6.9696 5.6425
I 7.7051 7.5621 12.1789
I 6.2779 2.7182 7.4303
I 1.6169 2.1257 0.8939
I 8.0343 5.2778 3.1401
I 3.5789 9.2540 9.5887
I 1.2877 4.4100 9.9327
I 5.7431 0.4339 3.4841
! **Space group**: P2_1/c, No. 14
! **Crystal system**: monoclinic
! **ΔE_f (raw)**: -1.57 eV per atom
! **Total energy**: -3.174 eV/atom